VASP calculation (GGA-PBE) on a relaxed SnTeHI2 crystal.

Summary:
Total energy = -2.2229 eV per atom
Distance to the lowest polymorph of the same formula = 206.2 meV/atom

Lattice parameters (Å, degrees): 6.092 6.092 5.883 90.00 90.00 90.00
Site moments in Bohr magnetons follow the coordinates.
Sites, in units of the cell vectors:
I (0.000, 0.500, 0.000)  0.11
I (0.500, 0.000, 0.000)  0.11
H (0.500, 0.500, 0.500)  0.38
Te (0.000, 0.000, 0.500)  0.55
Sn (0.000, 0.000, 0.000)  0.01